1.
The following is a PBE-GGA calculation of an optimized crystal structure of K2CeRh3O12, from Alexandria.

a = 7.578 Å, b = 7.578 Å, c = 7.578 Å
α = 57.44°, β = 57.44°, γ = 57.44°
Site moments in Bohr magnetons follow the coordinates.
Element x y z (fractional)
O 0.922 0.922 0.355  0.30
O 0.078 0.645 0.078  0.30
O 0.645 0.078 0.078  0.30
O 0.086 0.687 0.687  0.02
O 0.687 0.687 0.086  0.02
O 0.355 0.922 0.922  0.30
O 0.313 0.914 0.313  0.02
O 0.922 0.355 0.922  0.30
O 0.687 0.086 0.687  0.02
O 0.914 0.313 0.313  0.02
O 0.313 0.313 0.914  0.02
O 0.078 0.078 0.645  0.30
K 0.607 0.607 0.607  0.00
K 0.393 0.393 0.393  0.00
Rh 0.500 0.000 0.000  0.60
Rh 0.000 0.500 0.000  0.60
Rh 0.000 0.000 0.500  0.60
Ce 0.000 0.000 0.000  0.07

## Properties
Calculated total energy in eV per cell: -108.25
Fermi-level density of states in states/eV/f.u.: 12.66
Calculated volume in Å³/atom: 16.09
ΔE_f (raw) in kJ/mol of atoms: -99.5



2.
The following is a PBE-GGA calculation of an optimized crystal structure of HfOF2, from Alexandria.

a = 8.770 Å, b = 8.770 Å, c = 8.770 Å
α = 19.16°, β = 19.16°, γ = 19.16°
Site moments in Bohr magnetons follow the coordinates.
Element x y z (fractional)
Hf 0.500 0.500 0.500  0.01
F 0.890 0.890 0.890  0.01
F 0.110 0.110 0.110  0.01
O 0.000 0.000 0.000  1.54

## Properties
Calculated total energy in eV per cell: -23.89
Fermi-level density of states in states/eV/f.u.: 1.19
Calculated volume in Å³/atom: 15.87
ΔE_f (raw) in kJ/mol of atoms: -126.2



3.
The following is a PBE-GGA calculation of an optimized crystal structure of CaPrSn2, from Alexandria.

a = 3.538 Å, b = 3.538 Å, c = 9.173 Å
α = 90.00°, β = 90.00°, γ = 90.00°
Element x y z (fractional)
Sn 0.000 0.000 0.247
Sn 0.000 0.000 0.753
Ca 0.500 0.500 0.000
Pr 0.500 0.500 0.500

## Properties
Calculated total energy in eV per cell: -17.38
Energy relative to the elements in meV per atom: -649
Fermi-level density of states in states/eV/f.u.: 2.30
Calculated volume in Å³/atom: 28.71



4.
The following is a PBE-GGA calculation of an optimized crystal structure of InGeCl3, from Alexandria.

a = 7.525 Å, b = 10.443 Å, c = 7.230 Å
α = 90.00°, β = 90.00°, γ = 90.00°
Element x y z (fractional)
Cl 0.983 0.250 0.575
Cl 0.708 0.538 0.705
Cl 0.792 0.462 0.205
Cl 0.017 0.750 0.425
Cl 0.292 0.038 0.295
Cl 0.483 0.250 0.925
Cl 0.208 0.962 0.795
Cl 0.292 0.462 0.295
Cl 0.708 0.962 0.705
Cl 0.792 0.038 0.205
Cl 0.208 0.538 0.795
Cl 0.517 0.750 0.075
Ge 0.500 0.500 0.000
Ge 0.000 0.500 0.500
Ge 0.500 0.000 0.000
Ge 0.000 0.000 0.500
In 0.564 0.250 0.482
In 0.936 0.750 0.982
In 0.064 0.250 0.018
In 0.436 0.750 0.518

## Properties
Calculated total energy in eV per cell: -67.13
Fermi-level density of states in states/eV/f.u.: 0.00
Calculated volume in Å³/atom: 28.41
ΔE_f (raw) in kJ/mol of atoms: -75.0



5.
The following is a PBE-GGA calculation of an optimized crystal structure of LaGa2, from Alexandria.

a = 4.327 Å, b = 4.327 Å, c = 4.457 Å
α = 90.00°, β = 90.00°, γ = 120.00°
Element x y z (fractional)
La 0.000 0.000 0.000
Ga 0.333 0.667 0.500
Ga 0.667 0.333 0.500

## Properties
Calculated total energy in eV per cell: -13.10
Energy relative to the elements in meV per atom: -707
Fermi-level density of states in states/eV/f.u.: 1.79
Calculated volume in Å³/atom: 24.09



6.
The following is a PBE-GGA calculation of an optimized crystal structure of Sc4SnGeH, from Alexandria.

a = 5.902 Å, b = 5.932 Å, c = 8.234 Å
α = 90.00°, β = 111.00°, γ = 90.00°
Site moments in Bohr magnetons follow the coordinates.
Element x y z (fractional)
Sn 0.610 0.750 0.220  0.00
Sn 0.390 0.250 0.780  0.00
Sc 0.500 0.500 0.500  0.32
Sc 0.068 0.750 0.136  0.00
Sc 0.932 0.250 0.864  0.00
Sc 0.000 0.500 0.500  0.32
Sc 0.422 0.750 0.844  0.02
Sc 0.000 0.000 0.500  0.32
Sc 0.578 0.250 0.156  0.02
Sc 0.500 0.000 0.500  0.32
Ge 0.116 0.250 0.233  -0.01
Ge 0.884 0.750 0.767  -0.01
H 0.716 0.250 0.432  0.00
H 0.284 0.750 0.568  0.00

## Properties
Calculated total energy in eV per cell: -83.58
Fermi-level density of states in states/eV/f.u.: 5.94
Calculated volume in Å³/atom: 19.22



7.
The following is a PBE-GGA calculation of an optimized crystal structure of NaUTlBr6, from Alexandria.

a = 7.547 Å, b = 7.547 Å, c = 14.281 Å
α = 90.00°, β = 90.00°, γ = 120.00°
Site moments in Bohr magnetons follow the coordinates.
Element x y z (fractional)
Tl 0.000 0.000 0.000  0.00
Tl 0.000 0.000 0.500  0.00
Br 0.353 0.977 0.636  -0.03
Br 0.977 0.624 0.364  -0.03
Br 0.376 0.023 0.136  -0.03
Br 0.023 0.376 0.636  -0.03
Br 0.647 0.023 0.364  -0.03
Br 0.647 0.624 0.136  -0.03
Br 0.624 0.977 0.864  -0.03
Br 0.376 0.353 0.364  -0.03
Br 0.624 0.647 0.636  -0.03
Br 0.977 0.353 0.136  -0.03
Br 0.353 0.376 0.864  -0.03
Br 0.023 0.647 0.864  -0.03
Na 0.667 0.333 0.750  0.00
Na 0.333 0.667 0.250  0.00
U 0.333 0.667 0.750  2.10
U 0.667 0.333 0.250  2.10

## Properties
Calculated total energy in eV per cell: -73.19
Fermi-level density of states in states/eV/f.u.: 4.62
Calculated volume in Å³/atom: 39.13
ΔE_f (raw) in kJ/mol of atoms: -124.2



8.
The following is a PBE-GGA calculation of an optimized crystal structure of Pm4C2F, from Alexandria.

a = 3.673 Å, b = 3.673 Å, c = 12.904 Å
α = 81.82°, β = 81.82°, γ = 60.00°
Element x y z (fractional)
Pm 0.118 0.118 0.647
Pm 0.289 0.289 0.134
Pm 0.882 0.882 0.353
Pm 0.711 0.711 0.866
F 0.000 0.000 0.000
C 0.587 0.587 0.240
C 0.413 0.413 0.760

## Properties
Calculated total energy in eV per cell: -45.70
Fermi-level density of states in states/eV/f.u.: 4.38
Calculated volume in Å³/atom: 21.25
ΔE_f (raw) in kJ/mol of atoms: -87.9



9.
The following is a PBE-GGA calculation of an optimized crystal structure of ScRe2Ir, from Alexandria.

a = 4.463 Å, b = 4.463 Å, c = 4.463 Å
α = 119.91°, β = 119.91°, γ = 90.15°
Element x y z (fractional)
Sc 0.500 0.500 0.000
Re 0.000 0.000 0.000
Re 0.250 0.750 0.500
Ir 0.750 0.250 0.500

## Properties
Calculated total energy in eV per cell: -40.44
Energy relative to the elements in meV per atom: -87
Fermi-level density of states in states/eV/f.u.: 5.01
Calculated volume in Å³/atom: 15.73



10.
The following is a PBE-GGA calculation of an optimized crystal structure of GeHSe4, from Alexandria.

a = 6.657 Å, b = 4.768 Å, c = 10.998 Å
α = 94.69°, β = 101.88°, γ = 116.51°
Element x y z (fractional)
Ge 0.862 0.112 0.224
Ge 0.138 0.888 0.776
H 0.589 0.339 0.678
H 0.411 0.661 0.322
Se 0.032 0.886 0.092
Se 0.854 0.368 0.656
Se 0.699 0.712 0.344
Se 0.968 0.114 0.908
Se 0.146 0.632 0.344
Se 0.439 0.793 0.908
Se 0.301 0.288 0.656
Se 0.561 0.207 0.092

## Properties
Calculated total energy in eV per cell: -43.59
Fermi-level density of states in states/eV/f.u.: 1.75
Calculated volume in Å³/atom: 24.97



11.
The following is a PBE-GGA calculation of an optimized crystal structure of NaTi4O8, from Alexandria.

a = 5.942 Å, b = 9.665 Å, c = 11.273 Å
α = 90.00°, β = 90.00°, γ = 90.09°
Site moments in Bohr magnetons follow the coordinates.
Element x y z (fractional)
O 0.369 0.144 0.408  -0.01
O 0.626 0.620 0.303  -0.01
O 0.874 0.599 0.541  0.00
O 0.381 0.362 0.271  -0.01
O 0.382 0.646 0.089  -0.01
O 0.618 0.354 0.911  -0.01
O 0.628 0.138 0.771  -0.01
O 0.125 0.898 0.039  0.00
O 0.128 0.638 0.729  -0.01
O 0.118 0.854 0.589  -0.01
O 0.626 0.901 0.041  0.00
O 0.374 0.874 0.806  -0.01
O 0.375 0.602 0.539  0.00
O 0.619 0.638 0.729  -0.01
O 0.131 0.356 0.908  -0.01
O 0.869 0.644 0.092  -0.01
O 0.372 0.862 0.229  -0.01
O 0.126 0.120 0.197  -0.01
O 0.126 0.401 0.459  0.00
O 0.374 0.099 0.959  0.00
O 0.874 0.880 0.803  -0.01
O 0.126 0.626 0.306  -0.01
O 0.119 0.138 0.771  -0.01
O 0.882 0.146 0.411  -0.01
O 0.625 0.398 0.461  0.00
O 0.874 0.374 0.694  -0.01
O 0.872 0.362 0.271  -0.01
O 0.374 0.380 0.697  -0.01
O 0.626 0.126 0.194  -0.01
O 0.881 0.862 0.229  -0.01
O 0.875 0.102 0.961  0.00
O 0.631 0.856 0.592  -0.01
Ti 0.624 0.229 0.348  0.14
Ti 0.123 0.484 0.624  0.35
Ti 0.127 0.243 0.336  0.16
Ti 0.125 0.983 0.876  0.34
Ti 0.627 0.743 0.164  0.16
Ti 0.376 0.771 0.652  0.14
Ti 0.876 0.271 0.848  0.14
Ti 0.124 0.729 0.152  0.14
Ti 0.877 0.516 0.376  0.35
Ti 0.873 0.757 0.664  0.16
Ti 0.623 0.984 0.876  0.35
Ti 0.377 0.016 0.124  0.35
Ti 0.373 0.257 0.836  0.16
Ti 0.625 0.483 0.624  0.34
Ti 0.375 0.517 0.376  0.34
Ti 0.875 0.017 0.124  0.34
Na 0.856 0.078 0.607  0.00
Na 0.144 0.922 0.393  0.00
Na 0.644 0.422 0.107  0.00
Na 0.356 0.578 0.893  0.00

## Properties
Calculated total energy in eV per cell: -439.73
Fermi-level density of states in states/eV/f.u.: 3.52
Calculated volume in Å³/atom: 12.45
ΔE_f (raw) in kJ/mol of atoms: -277.3



12.
The following is a PBE-GGA calculation of an optimized crystal structure of FeBiRh, from Alexandria.

a = 3.743 Å, b = 3.682 Å, c = 8.932 Å
α = 90.00°, β = 102.10°, γ = 90.00°
Site moments in Bohr magnetons follow the coordinates.
Element x y z (fractional)
Bi 0.172 0.250 0.345  -0.12
Bi 0.828 0.750 0.655  -0.12
Rh 0.556 0.250 0.111  0.25
Rh 0.444 0.750 0.889  0.25
Fe 0.949 0.250 0.897  2.54
Fe 0.051 0.750 0.103  2.54

## Properties
Calculated total energy in eV per cell: -38.86
Energy relative to the elements in meV per atom: 89
Fermi-level density of states in states/eV/f.u.: 3.34
Calculated volume in Å³/atom: 20.06



What is the formula in the first record? K2CeRh3O12



Among the records above, which one has the lowest calculated total energy? NaTi4O8



Which formula does entry 11 have? NaTi4O8